First-principles (PBE-GGA) data for Si2PS after structural relaxation, as listed in Alexandria via LeMat-Bulk.

Computed properties:
The volume is 17.9 A^3/atom. The total energy is -4.855 eV/atom. The calculation puts the spin magnetization at 0.0 μB/f.u. The formation energy from raw total energies comes out at 0.24 eV per atom.

abc: 6.2020 6.2020 7.4626
angles: 90.00 90.00 90.00
With the nearest neighbours (Å) after each atom.
Space group I-42d (No. 122)
Unique sites:
Si (0.2386, 0.7500, 0.1250)  2 P 2.34, 2 S 2.43
P (0.0000, 0.0000, 0.0000)  4 Si 2.34
S (0.0000, 0.0000, 0.5000)  4 Si 2.43

---

First-principles (PBE-GGA) data for Pa2BeCo4Ge3 after structural relaxation, as listed in Alexandria via LeMat-Bulk.

Computed properties:
The volume is 15.1 A^3/atom. The total energy is -6.982 eV/atom. The calculation puts the spin magnetization at 0.0 μB/f.u. Its formation energy from the elements is -0.4830 eV per atom.

abc: 3.9035 3.9035 9.8973
angles: 90.00 90.00 90.00
With the nearest neighbours (Å) after each atom.
Space group P-4m2 (No. 115)
Unique sites:
Pa (0.0000, 0.5000, 0.2390)  8 Co 2.96-3.24, 6 Ge 3.04-3.07, 2 Be 3.07
Be (0.5000, 0.5000, 0.0000)  4 Co 2.35
Co (0.0000, 0.0000, 0.5000)  4 Ge 2.35
Co (0.0000, 0.5000, 0.8679)  3 Ge 2.34-2.35, 2 Be 2.35
Co (0.5000, 0.5000, 0.5000)  4 Ge 2.35
Ge (0.0000, 0.0000, 0.0000)  4 Co 2.35
Ge (0.0000, 0.5000, 0.6314)  5 Co 2.34-2.35

---

First-principles (PBE-GGA) data for RbFeSe after structural relaxation, as listed in Alexandria via LeMat-Bulk.

Computed properties:
The volume is 28.2 A^3/atom. The total energy is -4.648 eV/atom. The calculation puts the spin magnetization at 0.0 μB/f.u. The formation energy from raw total energies comes out at -0.34 eV per atom.

abc: 3.8996 3.8996 11.1100
angles: 90.00 90.00 90.00
With the nearest neighbours (Å) after each atom.
Space group P4/nmm (No. 129, origin choice 2)
Unique sites:
Rb (0.2500, 0.2500, 0.2007)  4 Se 3.43
Fe (0.2500, 0.7500, 0.5000)  4 Se 2.33
Se (0.2500, 0.2500, 0.6156)  4 Fe 2.33

---

First-principles (PBE-GGA) data for Sr2PmSn2 after structural relaxation, as listed in Alexandria via LeMat-Bulk.

Computed properties:
The volume is 35.8 A^3/atom. The total energy is -3.806 eV/atom. The calculation puts the spin magnetization at 0.0 μB/f.u. Its formation energy from the elements is -0.5820 eV per atom.

abc: 13.4674 5.2067 11.8153
angles: 90.00 120.31 90.00
With the nearest neighbours (Å) after each atom.
Space group C2/m (No. 12)
Unique sites:
Sr (0.0147, 0.0000, 0.1787)  6 Sn 3.59-3.72, 4 Pm 3.83-3.99
Sr (0.1809, 0.0000, 0.5899)  4 Sn 3.32-3.68
Pm (0.2068, 0.5000, 0.8526)  4 Sn 3.16-3.18
Sn (0.0423, 0.5000, 0.4016)  1 Sn 3.06, 1 Pm 3.18, 2 Sr 3.32
Sn (0.1402, 0.5000, 0.0752)  3 Pm 3.16-3.18, 1 Sn 3.26, 1 Sr 3.44

---

First-principles (PBE-GGA) data for ZnFe2Pb after structural relaxation, as listed in Alexandria via LeMat-Bulk.

Computed properties:
The volume is 18.0 A^3/atom. The total energy is -4.834 eV/atom. The calculation puts the spin magnetization at 4.8 μB/f.u. Its formation energy from the elements is 0.6428 eV per atom.

abc: 3.9765 3.9765 18.2062
angles: 90.00 90.00 90.00
With the nearest neighbours (Å) after each atom.
Space group I-42d (No. 122)
Unique sites:
Zn (0.0000, 0.0000, 0.0000)  4 Fe 2.58, 4 Pb 2.81
Fe (0.1804, 0.2500, 0.1250)  2 Fe 2.45, 2 Zn 2.58
Pb (0.0000, 0.0000, 0.5000)  4 Fe 2.79, 4 Zn 2.81

---

First-principles (PBE-GGA) data for NdHoSn2 after structural relaxation, as listed in Alexandria via LeMat-Bulk.

Computed properties:
The volume is 27.3 A^3/atom. The total energy is -4.973 eV/atom. The calculation puts the spin magnetization at 0.0 μB/f.u. Its formation energy from the elements is -0.6353 eV per atom.

abc: 4.9071 4.9071 4.5275
angles: 90.00 90.00 90.00
With the nearest neighbours (Å) after each atom.
Space group P4/mmm (No. 123)
Unique sites:
Nd (0.0000, 0.0000, 0.0000)  8 Sn 3.34, 4 Ho 3.47
Ho (0.5000, 0.5000, 0.0000)  8 Sn 3.34, 4 Nd 3.47
Sn (0.0000, 0.5000, 0.5000)  4 Ho 3.34, 4 Nd 3.34, 4 Sn 3.47

---

First-principles (PBE-GGA) data for AcLa2PmHo4 after structural relaxation, as listed in Alexandria via LeMat-Bulk.

Computed properties:
The volume is 35.3 A^3/atom. The total energy is -4.223 eV/atom. The calculation puts the spin magnetization at 0.0 μB/f.u. Its formation energy from the elements is 0.4051 eV per atom.

abc: 6.9425 12.0384 13.5065
angles: 90.00 90.00 90.00
With the nearest neighbours (Å) after each atom.
Space group Imma (No. 74)
Unique sites:
Ac (0.0000, 0.0000, 0.0000)  2 La 3.47, 6 Ho 3.49-3.52
La (0.0000, 0.0000, 0.5000)  6 Ho 3.26-3.43, 2 Ac 3.47
La (0.2500, 0.2500, 0.2500)  6 Ho 3.41-3.51, 2 La 3.47
Pm (0.2500, 0.2500, 0.7500)  6 Ho 3.34-3.44, 2 Pm 3.47
Ho (0.0000, 0.0035, 0.7413)  3 La 3.26-3.51, 2 Pm 3.44, 2 Ho 3.48, 1 Ac 3.49
Ho (0.2379, 0.2500, 0.5025)  2 Ho 3.30-3.64, 1 Pm 3.34, 3 La 3.41-3.43, 2 Ac 3.52

---

First-principles (PBE-GGA) data for Sn2Rh2Cl after structural relaxation, as listed in Alexandria via LeMat-Bulk.

Computed properties:
The volume is 21.7 A^3/atom. The total energy is -4.970 eV/atom. The calculation puts the spin magnetization at 0.0 μB/f.u. The formation energy from raw total energies comes out at -0.06 eV per atom.

abc: 4.3848 4.3848 11.2894
angles: 90.00 90.00 90.00
With the nearest neighbours (Å) after each atom.
Space group I4/mmm (No. 139)
Unique sites:
Sn (0.0000, 0.5000, 0.2500)  4 Rh 2.66
Rh (0.0000, 0.0000, 0.1166)  1 Rh 2.63, 4 Sn 2.66
Cl (0.0000, 0.0000, 0.5000)  8 Rh 3.37, 8 Sn 3.57

---

First-principles (PBE-GGA) data for MgPd5Pb after structural relaxation, as listed in Alexandria via LeMat-Bulk.

Computed properties:
The volume is 17.9 A^3/atom. The total energy is -4.816 eV/atom. The calculation puts the spin magnetization at 0.0 μB/f.u. Its formation energy from the elements is -0.3496 eV per atom.

abc: 3.9735 3.9735 7.9231
angles: 90.00 90.00 90.00
With the nearest neighbours (Å) after each atom.
Space group P4/mmm (No. 123)
Unique sites:
Mg (0.0000, 0.0000, 0.0000)  12 Pd 2.81
Pd (0.0000, 0.5000, 0.2509)  2 Pb 2.80, 6 Pd 2.81, 2 Mg 2.81
Pd (0.5000, 0.5000, 0.0000)  4 Mg 2.81, 8 Pd 2.81
Pb (0.5000, 0.5000, 0.5000)  8 Pd 2.80

---

First-principles (PBE-GGA) data for IrBr2Cl2 after structural relaxation, as listed in Alexandria via LeMat-Bulk.

Computed properties:
The volume is 30.8 A^3/atom. The total energy is -3.452 eV/atom. The calculation puts the spin magnetization at 0.4 μB/f.u. The formation energy from raw total energies comes out at -0.27 eV per atom.

abc: 3.5945 6.2880 13.9086
angles: 98.69 97.31 90.03
With the nearest neighbours (Å) after each atom.
Space group P-1 (No. 2)
Unique sites:
Ir (0.1096, 0.1355, 0.2230)  3 Cl 2.31-2.40, 3 Br 2.45-2.48
Br (0.1795, 0.9445, 0.3649)  1 Ir 2.45
Br (0.4299, 0.1011, 0.8568)  2 Ir 2.48
Cl (0.0461, 0.3299, 0.0941)  1 Ir 2.31
Cl (0.3541, 0.6426, 0.7038)  2 Ir 2.40

---

First-principles (PBE-GGA) data for NaZnAgPt after structural relaxation, as listed in Alexandria via LeMat-Bulk.

Computed properties:
The volume is 17.1 A^3/atom. The total energy is -3.012 eV/atom. The calculation puts the spin magnetization at 0.0 μB/f.u. Its formation energy from the elements is -0.1405 eV per atom.

abc: 6.4931 6.4931 6.4931
angles: 90.00 90.00 90.00
With the nearest neighbours (Å) after each atom.
Space group F-43m (No. 216)
Unique sites:
Na (0.0000, 0.0000, 0.0000)  4 Ag 2.81, 4 Zn 2.81
Zn (0.2500, 0.2500, 0.2500)  4 Na 2.81, 4 Pt 2.81
Ag (0.2500, 0.2500, 0.7500)  4 Pt 2.81, 4 Na 2.81
Pt (0.0000, 0.0000, 0.5000)  4 Zn 2.81, 4 Ag 2.81

---

First-principles (PBE-GGA) data for InRu2Br after structural relaxation, as listed in Alexandria via LeMat-Bulk.

Computed properties:
The volume is 17.6 A^3/atom. The total energy is -4.883 eV/atom. The calculation puts the spin magnetization at 0.0 μB/f.u. The formation energy from raw total energies comes out at 0.86 eV per atom.

abc: 3.9208 3.9208 9.1423
angles: 90.00 90.00 90.00
With the nearest neighbours (Å) after each atom.
Space group I-4m2 (No. 119)
Unique sites:
In (0.0000, 0.0000, 0.0000)  8 Ru 2.77-3.01, 4 Br 3.01
Ru (0.0000, 0.0000, 0.5000)  4 In 2.77, 4 Br 3.01, 4 Ru 3.01
Ru (0.0000, 0.5000, 0.7500)  4 Br 2.77, 4 In 3.01, 4 Ru 3.01
Br (0.0000, 0.5000, 0.2500)  8 Ru 2.77-3.01, 4 In 3.01

---

> Which value of spin magnetization does entry 7 give?

0.0 μB/f.u.

---

> Look up the spin magnetization of the seventh one.

0.0 μB/f.u.

---

> Which formula does entry 11 have?

NaZnAgPt